No. 1
Density functional theory data (PBE) for an optimized crystal structure of CsNaIn2.

Output
The value obtained for the formation energy is -0.1120 eV/atom.

Cell and atoms, written as POSCAR:
```
CsNaIn2
1.0
4.469 -2.590 0.000
4.469 2.590 0.000
-3.016 0.000 7.209
Cs Na In
1 1 2
Direct
0.000 0.000 0.000
0.805 0.805 0.422
0.201 0.201 0.606
0.529 0.529 0.592
```

=====

No. 2
Density functional theory data (PBE) for an optimized crystal structure of K2RhBr.

Output
For the formation energy from raw total energies, the calculation gives 0.036 eV per atom.

Cell and atoms, written as POSCAR:
```
K2RhBr
1.0
-2.683 2.689 4.471
2.683 -2.689 4.471
2.683 2.689 -4.471
K Rh Br
2 1 1
Direct
0.250 0.250 0.000
0.750 0.750 0.000
0.500 0.000 0.500
0.000 0.500 0.500
```

=====

In order of appearance, Fermi-level density of states = 1.12 3.16 states/eV/cell.
In order of appearance, volume = 41.7 32.2 A^3/atom.